First-principles (PBE) data for an optimized crystal structure of ReB2Au, as listed in Alexandria via LeMat-Bulk.

Excess energy over the best structure of this formula in the dataset, eV per formula unit: 0.68
Space-group type: Fm-3m (225)
Energy relative to the elements, eV/atom: 0.922

a b c (Å): 3.977 3.977 3.977
angles (deg): 60.00 60.00 60.00
Element x y z (fractional)
B (0.250, 0.250, 0.250)
B (0.750, 0.750, 0.750)
Re (0.000, 0.000, 0.000)
Au (0.500, 0.500, 0.500)

=====

First-principles (PBE) data for an optimized crystal structure of TlCd2Au, as listed in Alexandria via LeMat-Bulk.

Excess energy over the best structure of this formula in the dataset, eV per formula unit: 0.22
Space-group type: P1 (1)
Energy relative to the elements, eV/atom: -0.037

a b c (Å): 7.712 7.244 7.776
angles (deg): 155.43 145.24 44.04
Element x y z (fractional)
Cd (0.065, 0.012, 0.952)
Cd (0.750, 0.338, 0.586)
Au (0.235, 0.812, 0.572)
Tl (0.450, 0.337, 0.889)

=====

First-principles (PBE) data for an optimized crystal structure of Dy2PuN3, as listed in Alexandria via LeMat-Bulk.

Space-group type: C2/m (12)
Formation energy without anion corrections, eV per atom: -1.1906

a b c (Å): 3.426 6.897 8.383
angles (deg): 108.24 90.00 104.38
Site moments in Bohr magnetons follow the coordinates.
Element x y z (fractional)
Dy (0.832, 0.664, 0.664)  0.23
Dy (0.669, 0.338, 0.836)  0.21
Dy (0.168, 0.336, 0.336)  0.23
Dy (0.331, 0.662, 0.164)  0.21
N (0.363, 0.726, 0.473)  -0.11
N (0.973, 0.947, 0.194)  -0.16
N (0.307, 0.613, 0.863)  -0.06
N (0.637, 0.274, 0.527)  -0.11
N (0.693, 0.387, 0.137)  -0.06
N (0.027, 0.053, 0.806)  -0.16
Pu (0.500, 0.000, 0.000)  4.79
Pu (0.000, 0.000, 0.500)  4.80

=====

First-principles (PBE) data for an optimized crystal structure of Rb3CdAs2O8, as listed in Alexandria via LeMat-Bulk.

Space-group type: P-3m1 (164)
Formation energy without anion corrections, eV per atom: -1.4020

a b c (Å): 6.039 6.039 8.049
angles (deg): 90.00 90.00 120.00
Site moments in Bohr magnetons follow the coordinates.
Element x y z (fractional)
Rb (0.000, 0.000, 0.000)  0.00
Rb (0.333, 0.667, 0.700)  0.00
Rb (0.667, 0.333, 0.300)  0.00
O (0.176, 0.824, 0.323)  0.07
O (0.667, 0.333, 0.955)  0.24
O (0.648, 0.824, 0.323)  0.07
O (0.824, 0.176, 0.677)  0.07
O (0.824, 0.648, 0.677)  0.07
O (0.176, 0.352, 0.323)  0.07
O (0.333, 0.667, 0.045)  0.24
O (0.352, 0.176, 0.677)  0.07
As (0.667, 0.333, 0.742)  -0.02
As (0.333, 0.667, 0.258)  -0.02
Cd (0.000, 0.000, 0.500)  0.00

=====

> What is the formula in the fourth record?

Rb3CdAs2O8